1.
Entry from Alexandria: a relaxed structure of B3C5 (PBE).

It has space group Pm (No. 6), with a = 4.398 Å, b = 2.587 Å, c = 4.721 Å, α = 90.00°, β = 107.21° and γ = 90.00°. The distinct sites, in fractional coordinates, are B at (0.000, 0.000, 0.000), B at (0.130, 0.500, 0.807), B at (0.580, 0.500, 0.994), C at (0.018, 0.500, 0.466), C at (0.142, 0.000, 0.351), C at (0.514, 0.000, 0.469), C at (0.602, 0.000, 0.818) and C at (0.646, 0.500, 0.355).

Its total magnetic moment is 0.000 μB/cell. Its formation energy is 0.3632 eV per atom. As for the volume: 51.3 Å³/cell. The calculation puts the energy above the lowest structure with this stoichiometry at 0.71 eV per formula unit. Its total energy is -7.906 eV/atom.

2.
Entry from Alexandria: a relaxed structure of B7C5 (PBE).

It has space group P3m1 (No. 156), with a = 2.7053 Å, b = 2.7053 Å, c = 14.3082 Å, α = 90.00°, β = 90.00° and γ = 120.00°. The distinct sites, in fractional coordinates, are B at (0.0000, 0.0000, 0.0000), B at (0.0000, 0.0000, 0.1292), B at (0.0000, 0.0000, 0.4243), B at (0.0000, 0.0000, 0.6600), B at (0.3333, 0.6667, 0.2602), B at (0.3333, 0.6667, 0.7869), B at (0.6667, 0.3333, 0.9390), C at (0.3333, 0.6667, 0.1382), C at (0.3333, 0.6667, 0.6696), C at (0.6667, 0.3333, 0.3002), C at (0.6667, 0.3333, 0.4103) and C at (0.6667, 0.3333, 0.8322).

Its total magnetic moment is 0.000 μB/cell. Its formation energy is 0.3933 eV per atom. As for the volume: 90.7 Å³/cell. The calculation puts the energy above the lowest structure with this stoichiometry at 2.75 eV per formula unit. Its total energy is -7.345 eV/atom.

3.
Entry from Alexandria: a relaxed structure of B3C (PBE).

It has space group C2 (No. 5), with a = 7.692 Å, b = 4.123 Å, c = 5.536 Å, α = 90.00°, β = 110.66° and γ = 90.00°. The distinct sites, in fractional coordinates, are B at (0.000, 0.000, 0.000), B at (0.020, 0.327, 0.757), B at (0.119, 0.695, 0.793), B at (0.150, 0.663, 0.340), B at (0.226, 0.877, 0.083), C at (0.000, 0.123, 0.500) and C at (0.170, 0.903, 0.582).

Its total magnetic moment is 0.000 μB/cell. Its formation energy is 0.4469 eV per atom. As for the volume: 164.3 Å³/cell. The calculation puts the energy above the lowest structure with this stoichiometry at 0.83 eV per formula unit. Its total energy is -6.867 eV/atom.

4.
Entry from Alexandria: a relaxed structure of BC (PBE).

It has space group Cm (No. 8), with a = 9.084 Å, b = 2.567 Å, c = 6.632 Å, α = 90.00°, β = 117.89° and γ = 90.00°. The distinct sites, in fractional coordinates, are B at (0.000, 0.000, 0.000), B at (0.024, 0.000, 0.689), B at (0.092, 0.500, 0.341), B at (0.294, 0.500, 0.140), B at (0.384, 0.000, 0.529), C at (0.103, 0.500, 0.097), C at (0.205, 0.000, 0.515), C at (0.216, 0.000, 0.757), C at (0.302, 0.500, 0.889) and C at (0.403, 0.000, 0.305).

Its total magnetic moment is 0.000 μB/cell. Its formation energy is 0.4046 eV per atom. As for the volume: 136.7 Å³/cell. The calculation puts the energy above the lowest structure with this stoichiometry at 0.51 eV per formula unit. Its total energy is -7.546 eV/atom.

5.
Entry from Alexandria: a relaxed structure of BC (PBE).

It has space group Pm (No. 6), with a = 4.148 Å, b = 2.546 Å, c = 7.651 Å, α = 90.00°, β = 90.90° and γ = 90.00°. The distinct sites, in fractional coordinates, are B at (0.000, 0.000, 0.000), B at (0.001, 0.000, 0.298), B at (0.277, 0.000, 0.520), B at (0.299, 0.000, 0.818), B at (0.568, 0.500, 0.487), B at (0.975, 0.000, 0.669), C at (0.295, 0.000, 0.155), C at (0.513, 0.500, 0.155), C at (0.546, 0.500, 0.831), C at (0.738, 0.500, 0.995), C at (0.747, 0.500, 0.673) and C at (0.755, 0.500, 0.313).

Its total magnetic moment is 0.000 μB/cell. Its formation energy is 0.3980 eV per atom. As for the volume: 80.8 Å³/cell. The calculation puts the energy above the lowest structure with this stoichiometry at 0.49 eV per formula unit. Its total energy is -7.553 eV/atom.

6.
Entry from Alexandria: a relaxed structure of BC (PBE).

It has space group Pc (No. 7), with a = 3.790 Å, b = 3.804 Å, c = 6.195 Å, α = 90.00°, β = 110.53° and γ = 90.00°. The distinct sites, in fractional coordinates, are B at (0.000, 0.069, 0.000), B at (0.214, 0.408, 0.743), B at (0.566, 0.356, 0.483), C at (0.383, 0.116, 0.633), C at (0.693, 0.126, 0.287) and C at (0.855, 0.356, 0.137).

Its total magnetic moment is 0.000 μB/cell. Its formation energy is 0.2895 eV per atom. As for the volume: 83.6 Å³/cell. The calculation puts the energy above the lowest structure with this stoichiometry at 0.28 eV per formula unit. Its total energy is -7.661 eV/atom.

7.
Entry from Alexandria: a relaxed structure of B3C2 (PBE).

It has space group C2/c (No. 15), with a = 8.262 Å, b = 3.457 Å, c = 5.916 Å, α = 90.00°, β = 125.99° and γ = 90.00°. The distinct sites, in fractional coordinates, are B at (0.000, 0.119, 0.250), B at (0.117, 0.403, 0.602) and C at (0.204, 0.127, 0.870).

Its total magnetic moment is 0.000 μB/cell. Its formation energy is 0.4174 eV per atom. As for the volume: 136.7 Å³/cell. The calculation puts the energy above the lowest structure with this stoichiometry at 1.03 eV per formula unit. Its total energy is -7.279 eV/atom.

8.
Entry from Alexandria: a relaxed structure of BC (PBE).

It has space group P3m1 (No. 156), with a = 2.6109 Å, b = 2.6109 Å, c = 13.6808 Å, α = 90.00°, β = 90.00° and γ = 120.00°. The distinct sites, in fractional coordinates, are B at (0.0000, 0.0000, 0.0000), B at (0.0000, 0.0000, 0.1217), B at (0.3333, 0.6667, 0.1979), B at (0.3333, 0.6667, 0.6516), B at (0.6667, 0.3333, 0.7983), B at (0.6667, 0.3333, 0.9297), C at (0.0000, 0.0000, 0.5028), C at (0.0000, 0.0000, 0.6156), C at (0.3333, 0.6667, 0.3134), C at (0.3333, 0.6667, 0.7902), C at (0.6667, 0.3333, 0.3515) and C at (0.6667, 0.3333, 0.4643).

Its total magnetic moment is 0.000 μB/cell. Its formation energy is 0.4595 eV per atom. As for the volume: 80.8 Å³/cell. The calculation puts the energy above the lowest structure with this stoichiometry at 0.62 eV per formula unit. Its total energy is -7.491 eV/atom.

9.
Entry from Alexandria: a relaxed structure of BC (PBE).

It has space group Cm (No. 8), with a = 12.110 Å, b = 2.678 Å, c = 4.774 Å, α = 90.00°, β = 95.93° and γ = 90.00°. The distinct sites, in fractional coordinates, are B at (0.000, 0.000, 0.000), B at (0.012, 0.500, 0.522), B at (0.224, 0.000, 0.412), B at (0.351, 0.500, 0.921), B at (0.382, 0.500, 0.590), B at (0.414, 0.000, 0.133), C at (0.049, 0.000, 0.698), C at (0.050, 0.500, 0.201), C at (0.175, 0.500, 0.207), C at (0.177, 0.000, 0.732), C at (0.218, 0.500, 0.911) and C at (0.364, 0.000, 0.429).

Its total magnetic moment is 0.000 μB/cell. Its formation energy is 0.3292 eV per atom. As for the volume: 154.0 Å³/cell. The calculation puts the energy above the lowest structure with this stoichiometry at 0.36 eV per formula unit. Its total energy is -7.621 eV/atom.

10.
Entry from Alexandria: a relaxed structure of B3C (PBE).

It has space group P-4m2 (No. 115), with a = 2.376 Å, b = 2.376 Å, c = 14.569 Å, α = 90.00°, β = 90.00° and γ = 90.00°. The distinct sites, in fractional coordinates, are B at (0.000, 0.000, 0.000), B at (0.000, 0.000, 0.362), B at (0.000, 0.500, 0.271), B at (0.000, 0.500, 0.910), B at (0.500, 0.500, 0.181), C at (0.000, 0.500, 0.562) and C at (0.500, 0.500, 0.500).

Its total magnetic moment is 0.000 μB/cell. Its formation energy is 0.4027 eV per atom. As for the volume: 82.2 Å³/cell. The calculation puts the energy above the lowest structure with this stoichiometry at 0.65 eV per formula unit. Its total energy is -6.911 eV/atom.

11.
Entry from Alexandria: a relaxed structure of B7C5 (PBE).

It has space group P3m1 (No. 156), with a = 2.6104 Å, b = 2.6104 Å, c = 17.2331 Å, α = 90.00°, β = 90.00° and γ = 120.00°. The distinct sites, in fractional coordinates, are B at (0.0000, 0.0000, 0.0000), B at (0.0000, 0.0000, 0.0979), B at (0.0000, 0.0000, 0.7031), B at (0.3333, 0.6667, 0.1594), B at (0.3333, 0.6667, 0.8104), B at (0.6667, 0.3333, 0.2576), B at (0.6667, 0.3333, 0.9380), C at (0.0000, 0.0000, 0.4798), C at (0.3333, 0.6667, 0.2502), C at (0.3333, 0.6667, 0.7129), C at (0.6667, 0.3333, 0.4798) and C at (0.6667, 0.3333, 0.8495).

Its total magnetic moment is 0.000 μB/cell. Its formation energy is 0.3503 eV per atom. As for the volume: 101.7 Å³/cell. The calculation puts the energy above the lowest structure with this stoichiometry at 2.23 eV per formula unit. Its total energy is -7.388 eV/atom.

12.
Entry from Alexandria: a relaxed structure of BC (PBE).

It has space group C2/m (No. 12), with a = 13.196 Å, b = 2.447 Å, c = 5.025 Å, α = 90.00°, β = 100.63° and γ = 90.00°. The distinct sites, in fractional coordinates, are B at (0.042, 0.000, 0.376), B at (0.057, 0.000, 0.924), B at (0.143, 0.500, 0.443), C at (0.143, 0.500, 0.955), C at (0.213, 0.500, 0.742) and C at (0.218, 0.500, 0.226).

Its total magnetic moment is 0.000 μB/cell. Its formation energy is 0.4001 eV per atom. As for the volume: 159.5 Å³/cell. The calculation puts the energy above the lowest structure with this stoichiometry at 0.50 eV per formula unit. Its total energy is -7.551 eV/atom.